An optimized crystal structure of BaLiZr2, computed with PBE.

## Properties
V = 106.4 Å³ per cell
polymorph energy (0 for the lowest one) = 233 meV/atom
DFT total energy = -4.714 eV per atom
ΔE_f = 0.519 eV per atom

Cell lengths 3.4711, 3.4711, 8.8279 Å; angles 90.00, 90.00, 90.00 degrees
Space group P4/mmm (No. 123)
Asymmetric unit:
Ba 0.0000 0.0000 0.0000 [1 per cell]
Li 0.0000 0.0000 0.5000 [1 per cell]
Zr 0.5000 0.5000 0.3307 [2 per cell]


An optimized crystal structure of BaLiZr2, computed with PBE.

## Properties
V = 108.4 Å³ per cell
polymorph energy (0 for the lowest one) = 206 meV/atom
DFT total energy = -4.741 eV per atom
ΔE_f = 0.492 eV per atom

Cell lengths 3.2456, 5.9652, 5.6328 Å; angles 90.00, 96.49, 90.00 degrees
Space group P2/m (No. 10)
Asymmetric unit:
Ba 0.0000 0.0000 0.0000 [1 per cell]
Li 0.5000 0.0000 0.5000 [1 per cell]
Zr 0.3007 0.5000 0.7231 [2 per cell]


An optimized crystal structure of BaLiZr2, computed with PBE.

## Properties
V = 337.4 Å³ per cell
polymorph energy (0 for the lowest one) = 92 meV/atom
DFT total energy = -4.855 eV per atom
ΔE_f = 0.378 eV per atom

Cell lengths 3.3996, 3.3996, 33.7063 Å; angles 90.00, 90.00, 120.00 degrees
Space group R3m (No. 160, hexagonal axes)
Asymmetric unit:
Ba 0.0000 0.0000 0.0000 [3 per cell]
Li 0.0000 0.0000 0.7606 [3 per cell]
Zr 0.0000 0.0000 0.2401 [3 per cell]
Zr 0.0000 0.0000 0.5035 [3 per cell]


An optimized crystal structure of BaLi3Zr, computed with PBE.

## Properties
V = 135.8 Å³ per cell
polymorph energy (0 for the lowest one) = 428 meV/atom
DFT total energy = -2.068 eV per atom
ΔE_f = 1.175 eV per atom

Cell lengths 5.1400, 5.1400, 5.1400 Å; angles 90.00, 90.00, 90.00 degrees
Space group Pm-3m (No. 221)
Asymmetric unit:
Ba 0.0000 0.0000 0.0000 [1 per cell]
Li 0.0000 0.0000 0.5000 [3 per cell]
Zr 0.5000 0.5000 0.5000 [1 per cell]


An optimized crystal structure of Ba2LiZr, computed with PBE.

## Properties
V = 145.8 Å³ per cell
polymorph energy (0 for the lowest one) = 0 meV/atom
DFT total energy = -3.156 eV per atom
ΔE_f = 0.421 eV per atom

Cell lengths 3.8507, 3.8507, 9.8308 Å; angles 90.00, 90.00, 90.00 degrees
Space group P4mm (No. 99)
Asymmetric unit:
Ba 0.0000 0.0000 0.0000 [1 per cell]
Ba 0.5000 0.5000 0.3709 [1 per cell]
Li 0.0000 0.0000 0.6101 [1 per cell]
Zr 0.5000 0.5000 0.7469 [1 per cell]


An optimized crystal structure of BaLiZr2, computed with PBE.

## Properties
V = 108.1 Å³ per cell
polymorph energy (0 for the lowest one) = 356 meV/atom
DFT total energy = -4.591 eV per atom
ΔE_f = 0.643 eV per atom

Cell lengths 3.1873, 5.6321, 6.0195 Å; angles 90.00, 90.00, 90.00 degrees
Space group Pmmm (No. 47)
Asymmetric unit:
Ba 0.0000 0.0000 0.0000 [1 per cell]
Li 0.0000 0.0000 0.5000 [1 per cell]
Zr 0.5000 0.5000 0.2580 [2 per cell]


An optimized crystal structure of BaLi2Zr, computed with PBE.

## Properties
V = 109.3 Å³ per cell
polymorph energy (0 for the lowest one) = 29 meV/atom
DFT total energy = -3.168 eV per atom
ΔE_f = 0.406 eV per atom

Cell lengths 3.6502, 3.6502, 8.2038 Å; angles 90.00, 90.00, 90.00 degrees
Space group P4/mmm (No. 123)
Asymmetric unit:
Ba 0.0000 0.0000 0.0000 [1 per cell]
Li 0.5000 0.5000 0.3059 [2 per cell]
Zr 0.0000 0.0000 0.5000 [1 per cell]


An optimized crystal structure of Ba2LiZr, computed with PBE.

## Properties
V = 289.3 Å³ per cell
polymorph energy (0 for the lowest one) = 185 meV/atom
DFT total energy = -2.971 eV per atom
ΔE_f = 0.605 eV per atom

Cell lengths 11.5362, 3.5675, 7.0870 Å; angles 90.00, 97.26, 90.00 degrees
Space group C2/m (No. 12)
Asymmetric unit:
Ba 0.2490 0.0000 0.2436 [4 per cell]
Li 0.0000 0.0000 0.5000 [2 per cell]
Zr 0.0000 0.5000 0.0000 [2 per cell]


What did the seventh record say?
An optimized crystal structure of BaLi2Zr, computed with PBE.

## Properties
V = 109.3 Å³ per cell
polymorph energy (0 for the lowest one) = 29 meV/atom
DFT total energy = -3.168 eV per atom
ΔE_f = 0.406 eV per atom

Cell lengths 3.6502, 3.6502, 8.2038 Å; angles 90.00, 90.00, 90.00 degrees
Space group P4/mmm (No. 123)
Asymmetric unit:
Ba 0.0000 0.0000 0.0000 [1 per cell]
Li 0.5000 0.5000 0.3059 [2 per cell]
Zr 0.0000 0.0000 0.5000 [1 per cell]


> V of number 2 (BaLiZr2)?

108.4 Å³ per cell


> Which of these has the lowest DFT total energy?

number 3


> Which of these has the highest ΔE_f?

BaLi3Zr